[1]
# Tm2HgBi PBE optimized geometry
data_Tm2HgBi
_space_group_name_H-M_alt 'F m -3 m'
_space_group_IT_number 225
_space_group_name_Hall '-F 4 2 3'
_cell_length_a 7.551
_cell_length_b 7.551
_cell_length_c 7.551
_cell_angle_alpha 90.00
_cell_angle_beta 90.00
_cell_angle_gamma 90.00
loop_
_atom_site_label
_atom_site_type_symbol
_atom_site_fract_x
_atom_site_fract_y
_atom_site_fract_z
Tm1 Tm 0.250 0.250 0.250
Hg1 Hg 0.000 0.000 0.000
Bi1 Bi 0.000 0.000 0.500
# ΔE_f	-437	meV/atom

[2]
# K2CoAu PBE optimized geometry
data_K2CoAu
_space_group_name_H-M_alt 'I -4 m 2'
_space_group_IT_number 119
_space_group_name_Hall 'I -4 -2'
_cell_length_a 5.274
_cell_length_b 5.274
_cell_length_c 7.486
_cell_angle_alpha 90.00
_cell_angle_beta 90.00
_cell_angle_gamma 90.00
loop_
_atom_site_label
_atom_site_type_symbol
_atom_site_fract_x
_atom_site_fract_y
_atom_site_fract_z
K1 K 0.000 0.000 0.000
K2 K 0.000 0.500 0.250
Co1 Co 0.000 0.000 0.500
Au1 Au 0.000 0.500 0.750
# ΔE_f	584	meV/atom

no.,electronic total energy (eV/cell),D(E_F) (states/eV per atom),energy relative to the lowest polymorph listed for this composition (meV/atom)
1,-59.49,1.141,50.8
2,-20.49,1.794,318.2